KBaP2: relaxed, GGA-PBE.

Lattice parameters (Å, degrees): 3.5116 3.5116 9.1413 90.00 90.00 90.00
Closest atoms and distances in Å follow each position.
Space group P4/mmm (No. 123)
Symmetry-distinct sites (fractional):
1 K 0.0000 0.0000 0.0000 [1 per cell]  8 P 3.42, 4 K 3.51
2 Ba 0.0000 0.0000 0.5000 [1 per cell]  8 P 3.33, 4 Ba 3.51
3 P 0.5000 0.5000 0.2570 [2 per cell]  4 Ba 3.33, 4 K 3.42, 4 P 3.51

## Properties
E_form in eV/atom: -0.182
Energy relative to the lowest polymorph listed for this composition in kJ/mol of atoms: 44.6
Volume in Å³ per cell: 112.7
Total moment in Bohr magnetons per cell: 0.000

=====

Cs12Hg5Te3: relaxed, GGA-PBE.

Lattice parameters (Å, degrees): 22.0937 22.0937 22.0937 90.00 90.00 90.00
Closest atoms and distances in Å follow each position.
Space group Ia-3d (No. 230)
Symmetry-distinct sites (fractional):
1 Cs 0.0183 0.0800 0.6534 [96 per cell]  2 Hg 3.64-3.84, 1 Te 3.83
2 Hg 0.0000 0.0000 0.0000 [16 per cell]  6 Cs 3.84
3 Hg 0.0000 0.2500 0.3750 [24 per cell]  4 Cs 3.64
4 Te 0.0000 0.2500 0.1250 [24 per cell]  8 Cs 3.83-4.21

## Properties
Uncorrected formation energy in kJ/mol of atoms: -39.7
Volume in Å³ per cell: 10784.7
Total moment in Bohr magnetons per cell: 0.103

=====

CdAgIr2: relaxed, GGA-PBE.

Lattice parameters (Å, degrees): 9.2023 2.8538 5.1328 90.00 99.78 90.00
Closest atoms and distances in Å follow each position.
Space group Cm (No. 8)
Symmetry-distinct sites (fractional):
1 Cd 0.0000 0.0000 0.0000 [2 per cell]  3 Ag 2.68-2.82, 2 Cd 2.85, 5 Ir 2.85-2.99
2 Ag 0.2557 0.5000 0.2195 [2 per cell]  3 Cd 2.68-2.82, 5 Ir 2.82-2.95, 2 Ag 2.85
3 Ir 0.0100 0.5000 0.5216 [2 per cell]  5 Ir 2.64-2.85, 2 Cd 2.85, 3 Ag 2.95
4 Ir 0.2479 0.0000 0.6916 [2 per cell]  5 Ir 2.64-2.85, 2 Ag 2.82, 2 Cd 2.95

## Properties
E_form in eV/atom: 0.263
Volume in Å³ per cell: 132.8
Total moment in Bohr magnetons per cell: 0.000

=====

PAu3: relaxed, GGA-PBE.

Lattice parameters (Å, degrees): 9.3867 9.3867 2.7908 90.00 90.00 120.00
Closest atoms and distances in Å follow each position.
Space group R-3m (No. 166, hexagonal axes)
Symmetry-distinct sites (fractional):
1 P 0.0000 0.0000 0.0000 [3 per cell]  2 P 2.79, 6 Au 2.86
2 Au 0.0000 0.5000 0.0000 [9 per cell]  6 Au 2.79-2.86, 2 P 2.86

## Properties
E_form in eV/atom: 0.300
Energy relative to the lowest polymorph listed for this composition in kJ/mol of atoms: 26.5
Volume in Å³ per cell: 213.0
Total moment in Bohr magnetons per cell: 0.000

=====

DyTh3As4: relaxed, GGA-PBE.

Lattice parameters (Å, degrees): 5.9764 5.9764 5.9764 90.00 90.00 90.00
Closest atoms and distances in Å follow each position.
Space group Pm-3m (No. 221)
Symmetry-distinct sites (fractional):
1 Dy 0.0000 0.0000 0.0000 [1 per cell]  6 As 2.99
2 Th 0.0000 0.5000 0.5000 [3 per cell]  6 As 2.99
3 As 0.0000 0.0000 0.5000 [3 per cell]  4 Th 2.99, 2 Dy 2.99
4 As 0.5000 0.5000 0.5000 [1 per cell]  6 Th 2.99

## Properties
E_form in eV/atom: -1.430
Volume in Å³ per cell: 213.5
Total moment in Bohr magnetons per cell: 0.000

=====

ScSNO2: relaxed, GGA-PBE.

Lattice parameters (Å, degrees): 3.6523 3.6523 3.7798 90.00 90.00 90.00
Closest atoms and distances in Å follow each position.
Space group P4/mmm (No. 123)
Symmetry-distinct sites (fractional):
1 Sc 0.0000 0.0000 0.0000 [1 per cell]  4 N 2.58, 8 O 2.63
2 S 0.5000 0.5000 0.5000 [1 per cell]  4 O 1.83, 2 N 1.89
3 N 0.5000 0.5000 0.0000 [1 per cell]  2 S 1.89
4 O 0.0000 0.5000 0.5000 [2 per cell]  2 S 1.83

## Properties
Uncorrected formation energy in kJ/mol of atoms: -47.2
Volume in Å³ per cell: 50.4
Total moment in Bohr magnetons per cell: 0.000